Material: SnBiMo
Method: DFT, PBE
State: optimized geometry

Calculated values
energy above the lowest structure with this stoichiometry	58	meV/atom
density of states at the Fermi level	0.573	states/eV/atom
formation enthalpy at 0 K	253	meV per atom
calculated total energy	-35.911	eV per cell

Unit cell a=3.302 b=5.443 c=9.071 alpha=96.66 beta=100.21 gamma=107.59
Positions (direct):
Bi 0.472 0.521 0.965
Mo 0.879 0.843 0.488
Sn 0.594 0.980 0.780
Sn 0.194 0.413 0.553
Mo 0.197 0.673 0.285
Bi 0.872 0.100 0.209